A crystal of BiN2F2 relaxed with PBEsol, computed with meta-GGA SCAN.

Unit cell a=6.452 b=6.452 c=3.849 alpha=90.00 beta=90.00 gamma=90.00
Space group P4/mbm (No. 127)
Unique sites:
Bi: 0.000 0.000 0.000 x2
N: 0.061 0.439 0.500 x4
F: 0.228 0.728 0.000 x4

Values from the calculation:
N(E_F) (states/eV/atom): 0.075
Formation energy (no corrections) (eV/atom): -1.065
Energy above the most stable polymorph in this dataset (meV/atom): 0
Crystal system: tetragonal
Final energy (eV per atom): -21.914